Record 1
TbSnPd2, optimized geometry, DFT PBE; electronic total energy = -5.49 eV/atom; Fermi-level density of states = 3.05 states/eV per cell; calculated density = 10.1 g/cm3
1.0
3.740 0.000 0.000
0.000 4.638 0.000
0.000 0.000 4.638
Tb Sn Pd
1 1 2
direct
0.500 0.500 0.500
0.500 0.000 0.000
0.000 0.000 0.500
0.000 0.500 0.000

***

Record 2
TbSnPd, optimized geometry, DFT PBE; electronic total energy = -5.18 eV/atom; Fermi-level density of states = 2.51 states/eV per cell; calculated density = 9.1 g/cm3
1.0
-1.683 3.347 0.998
-2.629 -1.944 2.083
4.909 -0.429 2.187
Tb Sn Pd
1 1 1
direct
0.938 0.938 0.876
0.616 0.616 0.233
0.296 0.296 0.591

***

Record 3
Tb12SnPd6, optimized geometry, DFT PBE; electronic total energy = -5.42 eV/atom; Fermi-level density of states = 16.87 states/eV per cell; calculated density = 8.8 g/cm3
1.0
-1.249 -8.505 1.137
6.126 2.778 5.472
-7.402 4.242 1.553
Tb Sn Pd
12 1 6
direct
0.298 0.114 0.816
0.298 0.482 0.184
0.702 0.518 0.816
0.702 0.886 0.184
0.114 0.816 0.298
0.482 0.184 0.298
0.518 0.816 0.702
0.886 0.184 0.702
0.816 0.298 0.114
0.184 0.298 0.482
0.816 0.702 0.518
0.184 0.702 0.886
0.000 0.000 0.000
0.364 0.500 0.864
0.636 0.500 0.136
0.500 0.864 0.364
0.500 0.136 0.636
0.864 0.364 0.500
0.136 0.636 0.500

***

Record 4
Tb3Sn2Pd, optimized geometry, DFT PBE; electronic total energy = -5.32 eV/atom; Fermi-level density of states = 16.06 states/eV per cell; calculated density = 8.5 g/cm3
1.0
4.540 0.000 0.000
0.000 11.573 0.000
0.000 0.000 12.193
Tb Sn Pd
12 8 4
direct
0.250 0.370 0.051
0.750 0.630 0.949
0.750 0.870 0.449
0.250 0.130 0.551
0.250 0.699 0.230
0.750 0.301 0.770
0.750 0.199 0.270
0.250 0.801 0.730
0.250 0.442 0.375
0.750 0.558 0.625
0.750 0.942 0.125
0.250 0.058 0.875
0.250 0.689 0.497
0.750 0.311 0.503
0.750 0.189 0.003
0.250 0.811 0.997
0.250 0.993 0.314
0.750 0.007 0.686
0.750 0.493 0.186
0.250 0.507 0.814
0.250 0.126 0.124
0.750 0.874 0.876
0.750 0.626 0.376
0.250 0.374 0.624

***

Record 5
Tb12SnPd6, optimized geometry, DFT PBE; electronic total energy = -5.30 eV/atom; Fermi-level density of states = 17.24 states/eV per cell; calculated density = 8.4 g/cm3
1.0
-4.313 -0.505 -7.576
7.716 -3.996 -0.870
-4.628 -4.104 6.164
Tb Sn Pd
12 1 6
direct
0.852 0.617 0.557
0.557 0.852 0.617
0.617 0.557 0.852
0.148 0.383 0.443
0.443 0.148 0.383
0.383 0.443 0.148
0.032 0.858 0.325
0.142 0.675 0.968
0.675 0.968 0.142
0.968 0.142 0.675
0.858 0.325 0.032
0.325 0.032 0.858
0.000 0.000 0.000
0.710 0.780 0.351
0.649 0.290 0.220
0.220 0.649 0.290
0.290 0.220 0.649
0.351 0.710 0.780
0.780 0.351 0.710

***

Record 6
TbYSnPd, optimized geometry, DFT PBE; electronic total energy = -5.82 eV/atom; Fermi-level density of states = 2.34 states/eV per cell; calculated density = 8.0 g/cm3
1.0
-4.442 -1.124 -2.401
-2.687 -4.203 1.367
-4.496 0.507 2.508
Y Tb Sn Pd
1 1 1 1
direct
0.000 0.000 0.000
0.500 0.500 0.500
0.250 0.250 0.250
0.750 0.750 0.750

***

Record 7
TbZnSnPd, optimized geometry, DFT PBE; electronic total energy = -4.39 eV/atom; Fermi-level density of states = 2.16 states/eV per cell; calculated density = 9.3 g/cm3
1.0
-3.888 2.504 -1.452
-1.729 -0.595 -4.489
-4.227 -2.271 -0.688
Zn Tb Sn Pd
1 1 1 1
direct
0.500 0.500 0.500
0.750 0.750 0.750
0.250 0.250 0.250
0.000 0.000 0.000

***

Record 8
Tc3SnPd, optimized geometry, DFT PBE; electronic total energy = -6.25 eV/atom; Fermi-level density of states = 7.42 states/eV per cell; calculated density = 7.9 g/cm3
1.0
-1.513 -2.346 3.880
-2.144 -3.234 -2.791
3.995 -2.624 -0.028
Sn Pd Tc
1 1 3
direct
0.500 0.500 0.500
0.000 0.000 0.000
0.000 0.500 0.000
0.000 0.000 0.500
0.500 0.000 0.000

***

Number 1: energy of formation -0.739 eV/atom. Number 2: energy of formation -0.571 eV/atom. Number 3: energy of formation -0.644 eV/atom. Number 4: energy of formation -0.806 eV/atom. Number 5: energy of formation -0.523 eV/atom. Number 6: energy of formation -0.752 eV/atom. Number 7: energy of formation -0.615 eV/atom. Number 8: energy of formation 1.813 eV/atom.